No. 1
A relaxed Pr6Sm2Tm3 crystal, computed with GGA-PBE.

## Properties
The value obtained for the polymorph energy (0 for the lowest one) is 0.000 kcal/mol of atoms. The space-group type is P-1 (2). The energy relative to the elements comes out at 0.09 eV/atom. As for the crystal system: triclinic. The total DFT energy (no corrections) is -50.59 eV for the cell shown.

```
Pr6Sm2Tm3
1.0
-3.841 0.335 5.396
-4.522 -4.427 -2.509
-6.626 -11.322 7.690
Pr Sm Tm
6 2 3
Direct
0.735 0.191 0.804
0.199 0.661 0.709
0.069 0.174 0.529
0.265 0.809 0.196
0.801 0.339 0.291
0.931 0.826 0.471
0.360 0.543 0.922
0.640 0.457 0.078
0.442 0.209 0.641
0.000 0.000 0.000
0.558 0.791 0.359
```

No. 2
A relaxed Pr2Sm3Tm4 crystal, computed with GGA-PBE.

## Properties
The value obtained for the polymorph energy (0 for the lowest one) is 1.664 kcal/mol of atoms. The space-group type is C2/c (15). The energy relative to the elements comes out at 0.10 eV/atom. As for the crystal system: monoclinic. The total DFT energy (no corrections) is -81.46 eV for the cell shown.

```
Pr2Sm3Tm4
1.0
0.746 -6.062 0.215
4.899 -4.811 -8.931
10.547 -3.756 1.254
Pr Sm Tm
4 6 8
Direct
0.061 0.487 0.734
0.439 0.266 0.513
0.939 0.513 0.266
0.561 0.734 0.487
0.267 0.309 0.015
0.750 0.360 0.640
0.250 0.640 0.360
0.733 0.691 0.985
0.767 0.015 0.309
0.233 0.985 0.691
0.576 0.052 0.830
0.076 0.830 0.052
0.424 0.948 0.170
0.924 0.170 0.948
0.895 0.848 0.619
0.605 0.381 0.152
0.395 0.619 0.848
0.105 0.152 0.381
```

No. 3
A relaxed PrSmY6Tm2 crystal, computed with GGA-PBE.

## Properties
The space-group type is C2/c (15). The energy relative to the elements comes out at 0.12 eV/atom. As for the crystal system: monoclinic. The total DFT energy (no corrections) is -112.04 eV for the cell shown.

```
PrSmY6Tm2
1.0
9.168 -1.967 -2.041
0.789 8.543 -1.906
0.789 -2.221 8.466
Tm Sm Y Pr
4 2 12 2
Direct
0.450 0.805 0.705
0.550 0.195 0.295
0.950 0.705 0.805
0.050 0.295 0.195
0.750 0.030 0.970
0.250 0.970 0.030
0.057 0.115 0.756
0.820 0.434 0.982
0.680 0.018 0.566
0.884 0.296 0.514
0.557 0.756 0.115
0.943 0.885 0.244
0.320 0.982 0.434
0.616 0.486 0.704
0.116 0.704 0.486
0.180 0.566 0.018
0.384 0.514 0.296
0.443 0.244 0.885
0.750 0.592 0.408
0.250 0.408 0.592
```

No. 4
A relaxed PrSm6Y2Tm crystal, computed with GGA-PBE.

## Properties
The space-group type is C2/c (15). The energy relative to the elements comes out at 0.12 eV/atom. As for the crystal system: monoclinic. The total DFT energy (no corrections) is -98.60 eV for the cell shown.

```
PrSm6Y2Tm
1.0
9.120 -1.896 -1.968
0.914 8.656 -1.944
0.914 -2.264 8.578
Sm Tm Y Pr
12 2 4 2
Direct
0.385 0.521 0.293
0.942 0.883 0.240
0.115 0.707 0.479
0.885 0.293 0.521
0.442 0.240 0.883
0.815 0.442 0.994
0.615 0.479 0.707
0.185 0.558 0.006
0.685 0.006 0.558
0.058 0.117 0.760
0.558 0.760 0.117
0.315 0.994 0.442
0.250 0.412 0.588
0.750 0.588 0.412
0.449 0.795 0.697
0.949 0.697 0.795
0.051 0.303 0.205
0.551 0.205 0.303
0.750 0.033 0.967
0.250 0.967 0.033
```

No. 5
A relaxed PrSm2Y3Tm6 crystal, computed with GGA-PBE.

## Properties
The space-group type is C2/m (12). The energy relative to the elements comes out at 0.03 eV/atom. As for the crystal system: monoclinic. The total DFT energy (no corrections) is -60.13 eV for the cell shown.

```
PrSm2Y3Tm6
1.0
6.158 0.002 0.007
-3.076 5.335 0.007
-1.038 -1.797 11.542
Tm Y Sm Pr
6 3 2 1
Direct
0.751 0.751 0.252
0.582 0.915 0.748
0.915 0.582 0.748
0.418 0.085 0.252
0.249 0.249 0.748
0.085 0.418 0.252
0.500 0.500 0.500
0.167 0.833 0.500
0.833 0.167 0.500
0.333 0.667 0.000
0.667 0.333 0.000
0.000 0.000 0.000
```

No. 6
A relaxed PrSm5YTm2 crystal, computed with GGA-PBE.

## Properties
The space-group type is Cmc2_1 (36). The energy relative to the elements comes out at 0.16 eV/atom. As for the crystal system: orthorhombic. The total DFT energy (no corrections) is -84.76 eV for the cell shown.

```
PrSm5YTm2
1.0
5.641 0.000 0.000
-2.821 10.149 0.000
0.000 0.000 10.694
Tm Sm Y Pr
4 10 2 2
Direct
0.110 0.220 0.738
0.885 0.769 0.818
0.115 0.231 0.318
0.890 0.780 0.238
0.016 0.032 0.023
0.719 0.439 0.808
0.522 0.043 0.241
0.607 0.214 0.526
0.298 0.597 0.706
0.393 0.786 0.026
0.702 0.403 0.206
0.281 0.561 0.308
0.984 0.968 0.523
0.478 0.957 0.741
0.589 0.177 0.955
0.411 0.823 0.455
0.202 0.404 0.011
0.798 0.596 0.511
```

No. 7
A relaxed PrSm2Y4Tm2 crystal, computed with GGA-PBE.

## Properties
The space-group type is C2/m (12). The energy relative to the elements comes out at 0.01 eV/atom. As for the crystal system: monoclinic. The total DFT energy (no corrections) is -48.96 eV for the cell shown.

```
PrSm2Y4Tm2
1.0
3.617 0.000 0.000
-1.808 9.356 -0.464
0.000 -3.723 8.848
Pr Sm Y Tm
1 2 4 2
Direct
0.000 0.000 0.000
0.149 0.297 0.668
0.851 0.703 0.332
0.814 0.629 0.666
0.186 0.371 0.334
0.519 0.038 0.335
0.481 0.962 0.665
0.332 0.663 0.998
0.668 0.337 0.002
```

No. 8
A relaxed Pr6SmY2Tm3 crystal, computed with GGA-PBE.

## Properties
The space-group type is C2/m (12). The energy relative to the elements comes out at 0.01 eV/atom. As for the crystal system: monoclinic. The total DFT energy (no corrections) is -59.58 eV for the cell shown.

```
Pr6SmY2Tm3
1.0
-3.309 -3.865 -3.725
5.766 -1.660 1.937
-5.459 -3.278 10.027
Y Sm Pr Tm
2 1 6 3
Direct
0.667 0.333 0.000
0.333 0.667 0.000
0.000 0.000 0.000
0.583 0.916 0.747
0.417 0.084 0.253
0.916 0.583 0.747
0.084 0.417 0.253
0.249 0.249 0.747
0.751 0.751 0.253
0.833 0.167 0.500
0.167 0.833 0.500
0.500 0.500 0.500
```

The highest total DFT energy (no corrections) belongs to which entry?
PrSm2Y4Tm2

Repeat the fourth record exactly.
A relaxed PrSm6Y2Tm crystal, computed with GGA-PBE.

## Properties
The space-group type is C2/c (15). The energy relative to the elements comes out at 0.12 eV/atom. As for the crystal system: monoclinic. The total DFT energy (no corrections) is -98.60 eV for the cell shown.

```
PrSm6Y2Tm
1.0
9.120 -1.896 -1.968
0.914 8.656 -1.944
0.914 -2.264 8.578
Sm Tm Y Pr
12 2 4 2
Direct
0.385 0.521 0.293
0.942 0.883 0.240
0.115 0.707 0.479
0.885 0.293 0.521
0.442 0.240 0.883
0.815 0.442 0.994
0.615 0.479 0.707
0.185 0.558 0.006
0.685 0.006 0.558
0.058 0.117 0.760
0.558 0.760 0.117
0.315 0.994 0.442
0.250 0.412 0.588
0.750 0.588 0.412
0.449 0.795 0.697
0.949 0.697 0.795
0.051 0.303 0.205
0.551 0.205 0.303
0.750 0.033 0.967
0.250 0.967 0.033
```